## PuAgH6Pt2 (GGA-PBE)

Data for an optimized crystal structure of PuAgH6Pt2.

Computed properties:
Mass density, g cm⁻³: 11.07
Energy, eV/atom: -4.893
D(E_F), states/eV per cell: 14.44

abc: 7.1267 7.1267 7.1267
angles: 36.06 36.06 36.06
Element x y z (fractional)
Pu1 0.0000 0.0000 0.0000
Ag1 0.5000 0.5000 0.5000
H1 0.1385 0.3746 0.7730
H2 0.2270 0.8615 0.6254
H3 0.3746 0.7730 0.1385
H4 0.6254 0.2270 0.8615
H5 0.7730 0.1385 0.3746
H6 0.8615 0.6254 0.2270
Pt1 0.2441 0.2441 0.2441
Pt2 0.7559 0.7559 0.7559



## PuAgH8Pt2 (GGA-PBE)

Data for an optimized crystal structure of PuAgH8Pt2.

Computed properties:
Mass density, g cm⁻³: 10.75
Energy, eV/atom: -4.656
D(E_F), states/eV per cell: 14.73

abc: 6.3270 6.3270 6.3270
angles: 45.14 45.14 45.14
Element x y z (fractional)
Pu1 0.0000 0.0000 0.0000
Ag1 0.5000 0.5000 0.5000
H1 0.1071 0.7980 0.4091
H2 0.2020 0.5909 0.8929
H3 0.3271 0.3271 0.3271
H4 0.4091 0.1071 0.7980
H5 0.5909 0.8929 0.2020
H6 0.6729 0.6729 0.6729
H7 0.7980 0.4091 0.1071
H8 0.8929 0.2020 0.5909
Pt1 0.2319 0.2319 0.2319
Pt2 0.7681 0.7681 0.7681